1.
Material: PmGdMnCd
Method: DFT, PBE
State: optimized geometry

a = 5.253 Å, b = 5.253 Å, c = 5.253 Å
α = 60.00°, β = 60.00°, γ = 60.00°
Atoms (fractional coordinates):
Mn  0.750  0.750  0.750
Gd  0.000  0.000  0.000
Pm  0.500  0.500  0.500
Cd  0.250  0.250  0.250

Values from the calculation:
Space group: F-43m, No. 216

---

2.
Material: PrGdMnCd
Method: DFT, PBE
State: optimized geometry

a = 5.311 Å, b = 5.311 Å, c = 5.311 Å
α = 60.00°, β = 60.00°, γ = 60.00°
Atoms (fractional coordinates):
Pr  0.000  0.000  0.000
Gd  0.500  0.500  0.500
Mn  0.250  0.250  0.250
Cd  0.750  0.750  0.750

Values from the calculation:
Space group: F-43m, No. 216

---

3.
Material: GdThMnCd
Method: DFT, PBE
State: optimized geometry

a = 5.243 Å, b = 5.243 Å, c = 5.243 Å
α = 60.00°, β = 60.00°, γ = 60.00°
Atoms (fractional coordinates):
Th  0.500  0.500  0.500
Gd  0.000  0.000  0.000
Mn  0.250  0.250  0.250
Cd  0.750  0.750  0.750

Values from the calculation:
Space group: F-43m, No. 216

---

4.
Material: GdTmMnCd
Method: DFT, PBE
State: optimized geometry

a = 5.148 Å, b = 5.148 Å, c = 5.148 Å
α = 60.00°, β = 60.00°, γ = 60.00°
Atoms (fractional coordinates):
Tm  0.500  0.500  0.500
Cd  0.750  0.750  0.750
Gd  0.000  0.000  0.000
Mn  0.250  0.250  0.250

Values from the calculation:
Space group: F-43m, No. 216

---

| no. | DOS at the Fermi energy (states/eV/f.u.) | VASP energy (eV/atom) |
| --- | --- | --- |
| 1 | 5.19 | -7.2457 |
| 2 | 4.50 | -7.2034 |
| 3 | 4.06 | -7.8403 |
| 4 | 5.18 | -7.1836 |